{"formula": "BaAcGa", "functional": "PBE", "state": "optimized geometry", "lattice": [[-3.864, 1.183, 0.485], [-1.199, -3.889, -0.066], [3.315, 0.990, 6.923]], "species": ["Ac", "Ba", "Ga"], "frac_coords": [[0.291, 0.291, 0.582], [0.031, 0.031, 0.062], [0.678, 0.678, 0.356]], "e_above_lowest_polymorph_mev_per_atom": 61, "delta_e_f_ev_per_atom": -0.2383, "n_ef_per_ev_cell": 3.30, "energy_ev_per_atom": -3.258}



{"formula": "Th8SnC4", "functional": "PBE", "state": "optimized geometry", "lattice": [[7.941, 0.000, 0.000], [3.971, 6.877, 0.000], [3.971, 2.292, 6.484]], "species": ["Th", "Th", "C", "Th", "Th", "Th", "C", "Th", "Sn", "C", "Th", "Th", "C"], "frac_coords": [[0.603, 0.603, 0.191], [0.191, 0.603, 0.603], [0.893, 0.369, 0.369], [0.138, 0.585, 0.138], [0.585, 0.138, 0.138], [0.603, 0.191, 0.603], [0.369, 0.893, 0.369], [0.138, 0.138, 0.138], [0.750, 0.750, 0.750], [0.369, 0.369, 0.369], [0.138, 0.138, 0.585], [0.603, 0.603, 0.603], [0.369, 0.369, 0.893]], "delta_e_f_ev_per_atom": 0.0654, "n_ef_per_ev_cell": 13.31, "energy_ev_per_atom": -7.647}



{"formula": "Sr2IrPb", "functional": "PBE", "state": "optimized geometry", "lattice": [[5.273, -0.014, 0.000], [0.037, 5.273, 0.000], [-2.655, -2.630, 3.720]], "species": ["Pb", "Ir", "Sr", "Sr"], "frac_coords": [[0.750, 0.250, 0.500], [0.500, 0.500, 0.000], [0.250, 0.750, 0.500], [0.000, 0.000, 0.000]], "delta_e_f_ev_per_atom": -0.0046, "n_ef_per_ev_cell": 4.53, "energy_ev_per_atom": -3.988}



{"formula": "GdRe4Si2", "functional": "PBE", "state": "optimized geometry", "lattice": [[8.917, 0.000, 0.000], [0.000, 8.917, 0.000], [0.000, 0.000, 2.965]], "species": ["Re", "Gd", "Re", "Si", "Gd", "Re", "Re", "Re", "Re", "Si", "Re", "Re", "Si", "Si"], "frac_coords": [[0.989, 0.324, 0.500], [0.500, 0.500, 0.000], [0.489, 0.176, 0.000], [0.269, 0.269, 0.500], [0.000, 0.000, 0.500], [0.011, 0.676, 0.500], [0.324, 0.989, 0.500], [0.824, 0.511, 0.000], [0.176, 0.489, 0.000], [0.731, 0.731, 0.500], [0.511, 0.824, 0.000], [0.676, 0.011, 0.500], [0.769, 0.231, 0.000], [0.231, 0.769, 0.000]], "formation_energy_uncorrected_mev_per_atom": 119, "n_ef_per_ev_cell": 10.72, "energy_ev_per_atom": -10.555}



{"formula": "H2IrOs", "functional": "PBE", "state": "optimized geometry", "lattice": [[0.000, 2.642, 2.642], [2.642, 0.000, 2.642], [2.642, 2.642, 0.000]], "species": ["H", "Os", "Ir", "H"], "frac_coords": [[0.250, 0.250, 0.250], [0.000, 0.000, 0.000], [0.500, 0.500, 0.500], [0.750, 0.750, 0.750]], "e_above_lowest_polymorph_mev_per_atom": 515, "n_ef_per_ev_cell": 3.00, "energy_ev_per_atom": -5.661}



{"formula": "Er6Hg3Ru", "functional": "PBE", "state": "optimized geometry", "lattice": [[-1.016, 1.047, -4.885], [7.375, -4.186, -2.432], [-5.873, -9.846, -0.862]], "species": ["Hg", "Hg", "Er", "Er", "Hg", "Er", "Er", "Ru", "Er", "Er", "Hg", "Er", "Er", "Er", "Hg", "Er", "Er", "Er", "Hg", "Ru"], "frac_coords": [[0.002, 0.649, 0.213], [0.000, 0.000, 0.500], [0.498, 0.516, 0.740], [0.998, 0.695, 0.917], [0.500, 0.500, 0.000], [0.502, 0.195, 0.583], [0.502, 0.484, 0.260], [0.500, 0.500, 0.500], [0.998, 0.651, 0.584], [0.002, 0.349, 0.416], [0.502, 0.851, 0.713], [0.498, 0.805, 0.417], [0.002, 0.016, 0.760], [0.998, 0.984, 0.240], [0.998, 0.351, 0.787], [0.502, 0.151, 0.916], [0.002, 0.305, 0.083], [0.498, 0.849, 0.084], [0.498, 0.149, 0.287], [0.000, 0.000, 0.000]], "delta_e_f_ev_per_atom": -0.3425, "n_ef_per_ev_cell": 17.80, "energy_ev_per_atom": -4.098}



{"formula": "CaAl3Re", "functional": "PBE", "state": "optimized geometry", "lattice": [[-1.026, 0.944, -4.620], [0.323, -4.703, -1.033], [-4.704, -0.529, 0.936]], "species": ["Al", "Re", "Al", "Al", "Ca"], "frac_coords": [[0.000, 0.000, 0.500], [0.000, 0.000, 0.000], [0.500, 0.000, 0.000], [0.000, 0.500, 0.000], [0.500, 0.500, 0.500]], "e_above_lowest_polymorph_mev_per_atom": 0, "delta_e_f_ev_per_atom": -0.1388, "n_ef_per_ev_cell": 0.92, "energy_ev_per_atom": -5.274}



{"formula": "SrZnSn3", "functional": "PBE", "state": "optimized geometry", "lattice": [[-1.708, 5.020, -3.082], [0.834, -2.970, -5.301], [-5.831, -1.895, 0.144]], "species": ["Sr", "Sn", "Zn", "Sn", "Sn"], "frac_coords": [[0.000, 0.000, 0.000], [0.500, 0.000, 0.000], [0.500, 0.500, 0.500], [0.000, 0.500, 0.000], [0.000, 0.000, 0.500]], "delta_e_f_ev_per_atom": 0.9473, "n_ef_per_ev_cell": 6.74, "energy_ev_per_atom": -2.046}



Please write out number 3 again, unchanged.
{"formula": "Sr2IrPb", "functional": "PBE", "state": "optimized geometry", "lattice": [[5.273, -0.014, 0.000], [0.037, 5.273, 0.000], [-2.655, -2.630, 3.720]], "species": ["Pb", "Ir", "Sr", "Sr"], "frac_coords": [[0.750, 0.250, 0.500], [0.500, 0.500, 0.000], [0.250, 0.750, 0.500], [0.000, 0.000, 0.000]], "delta_e_f_ev_per_atom": -0.0046, "n_ef_per_ev_cell": 4.53, "energy_ev_per_atom": -3.988}